*one*
# KBiS2Cl, optimized geometry, DFT GGA-PBE
# density: 3717 kg/m³
data_KBiS2Cl
_chemical_formula_sum 'K1 Bi1 S2 Cl1'
_space_group_name_H-M_alt 'P 4/m m m'
_space_group_IT_number 123
_space_group_name_Hall '-P 4 2'
_cell_length_a 5.267
_cell_length_b 5.267
_cell_length_c 5.598
_cell_angle_alpha 90.00
_cell_angle_beta 90.00
_cell_angle_gamma 90.00
loop_
_atom_site_label
_atom_site_fract_x
_atom_site_fract_y
_atom_site_fract_z
_atom_site_occupancy
K1 0.000 0.000 0.000 1
Bi1 0.500 0.500 0.500 1
S1 0.000 0.500 0.500 1
Cl1 0.500 0.500 0.000 1

---

*two*
# KBiS2Cl, optimized geometry, DFT GGA-PBE
# density: 3714 kg/m³
data_KBiS2Cl
_chemical_formula_sum 'K1 Bi1 S2 Cl1'
_space_group_name_H-M_alt 'P 4/m m m'
_space_group_IT_number 123
_space_group_name_Hall '-P 4 2'
_cell_length_a 5.434
_cell_length_b 5.434
_cell_length_c 5.263
_cell_angle_alpha 90.00
_cell_angle_beta 90.00
_cell_angle_gamma 90.00
loop_
_atom_site_label
_atom_site_fract_x
_atom_site_fract_y
_atom_site_fract_z
_atom_site_occupancy
K1 0.000 0.000 0.000 1
Bi1 0.500 0.500 0.500 1
S1 0.000 0.500 0.000 1
Cl1 0.000 0.000 0.500 1

---

Most stable pick: *one*. Distance to second place: 1131 meV/atom.